Dy2Ho6Hg (PBE-GGA, relaxed); total moment = 0.00 μB/f.u.; Fermi-level density of states = 1.092 states/eV per atom; E = -4.11 eV/atom; formation enthalpy at 0 K = -4.5 meV per atom; space group = No. 71
1.0
-0.090 3.518 -0.004
-9.831 -0.254 -2.160
3.302 -1.662 8.633
Dy Ho Hg
2 6 1
direct
0.146 0.646 0.292
0.854 0.354 0.708
0.180 0.340 0.360
0.820 0.980 0.640
0.820 0.660 0.640
0.500 0.282 0.000
0.180 0.020 0.360
0.500 0.718 0.000
0.000 0.000 0.000

=====

BeSn2I (PBE-GGA, relaxed); total moment = 0.00 μB/f.u.; Fermi-level density of states = 0.624 states/eV per atom; formation energy from raw total energies = 0.70 eV/atom; E = -2.62 eV/atom; offset from the most stable computed form = 40.1 kJ per mole of atoms; space group = No. 225
1.0
0.000 3.736 3.736
3.736 0.000 3.736
3.736 3.736 0.000
I Be Sn
1 1 2
direct
0.500 0.500 0.500
0.000 0.000 0.000
0.250 0.250 0.250
0.750 0.750 0.750

=====

CsSr2CoCl8 (PBE-GGA, relaxed); total moment = 0.16 μB/f.u.; formation energy from raw total energies = -1.77 eV/atom; E = -3.94 eV/atom; space group = No. 2
1.0
-3.892 -6.396 0.123
3.078 -1.930 -5.294
3.060 -7.498 4.544
Cs Sr Co Cl
1 2 1 8
direct
0.000 0.000 0.500
0.263 0.501 0.764
0.737 0.499 0.236
0.000 0.000 0.000
0.145 0.755 0.080
0.854 0.752 0.921
0.707 0.000 0.267
0.855 0.245 0.920
0.146 0.248 0.079
0.293 0.000 0.733
0.290 0.498 0.444
0.710 0.502 0.556